## Li3Tm3TiSe8 (GGA-PBE)

Data for an optimized crystal structure of Li3Tm3TiSe8.

a b c (Å): 7.903 7.902 7.934
angles (deg): 119.90 90.00 120.00
Sites, in units of the cell vectors:
Li: 0.000 0.000 0.000
Li: 0.000 0.500 0.000
Li: 0.500 0.500 0.000
Tm: 0.500 0.000 0.500
Tm: 0.500 0.500 0.500
Tm: 0.000 0.500 0.500
Ti: 0.000 0.000 0.500
Se: 0.249 0.497 0.246
Se: 0.751 0.503 0.754
Se: 0.765 0.531 0.262
Se: 0.235 0.469 0.738
Se: 0.765 0.997 0.262
Se: 0.235 0.003 0.738
Se: 0.231 0.997 0.262
Se: 0.769 0.003 0.738

The uncorrected formation energy comes out at -150 kJ per mole of atoms. Its energy is -5.213 eV per atom.